Computed, not measured: a relaxed structure of Pr2HoErTe6 at the PBE level of DFT.

a b c (Å): 8.3818 8.3818 8.3818
angles (deg): 55.89 55.89 55.89
Closest atoms and distances in Å follow each position.
Element x y z (fractional)
Pr 0.0000 0.0000 0.0000  6 Te 3.18-3.24
Pr 0.4997 0.4997 0.4997  6 Te 3.18-3.24
Ho 0.6912 0.6912 0.6912  6 Te 3.06-3.09
Er 0.1913 0.1913 0.1913  6 Te 3.05-3.08
Te 0.0771 0.4215 0.8059  1 Ho 3.06, 1 Er 3.08, 2 Pr 3.18-3.24
Te 0.3044 0.9217 0.5769  1 Er 3.05, 1 Ho 3.09, 2 Pr 3.18-3.24
Te 0.4215 0.8059 0.0771  1 Ho 3.06, 1 Er 3.08, 2 Pr 3.18-3.24
Te 0.5769 0.3044 0.9217  1 Er 3.05, 1 Ho 3.09, 2 Pr 3.18-3.24
Te 0.8059 0.0771 0.4215  1 Ho 3.06, 1 Er 3.08, 2 Pr 3.18-3.24
Te 0.9217 0.5769 0.3044  1 Er 3.05, 1 Ho 3.09, 2 Pr 3.18-3.24

Formation energy (no corrections)   -1.36 eV/atom
Calculated volume   37.676 Å³ per atom
SG   R3, No. 146


Computed, not measured: a relaxed structure of PrHo3Er2Te6 at the PBE level of DFT.

a b c (Å): 9.7215 9.7215 8.8043
angles (deg): 101.77 101.77 25.69
Closest atoms and distances in Å follow each position.
Element x y z (fractional)
Pr 0.0000 0.0000 0.0000  6 Te 3.16-3.23
Ho 0.0000 0.0000 0.5000  6 Te 3.02-3.12
Ho 0.3413 0.3413 0.1637  6 Te 3.00-3.12
Ho 0.6587 0.6587 0.8363  6 Te 3.00-3.12
Er 0.3364 0.3364 0.6682  6 Te 2.98-3.11
Er 0.6636 0.6636 0.3318  6 Te 2.98-3.11
Te 0.1685 0.1685 0.5860  3 Er 3.10-3.11, 3 Ho 3.12
Te 0.1741 0.1741 0.0909  2 Er 3.06, 3 Ho 3.08-3.10, 1 Pr 3.23
Te 0.4973 0.4973 0.7376  1 Er 2.98, 3 Ho 3.00-3.02, 2 Pr 3.16
Te 0.5027 0.5027 0.2624  1 Er 2.98, 3 Ho 3.00-3.02, 2 Pr 3.16
Te 0.8259 0.8259 0.9091  2 Er 3.06, 3 Ho 3.08-3.10, 1 Pr 3.23
Te 0.8315 0.8315 0.4140  3 Er 3.10-3.11, 3 Ho 3.12

Fermi-level density of states   6.7 states/eV per cell
Formation energy (no corrections)   -1.27 eV/atom
Calculated volume   29.393 Å³ per atom
SG   C2/m, No. 12


Computed, not measured: a relaxed structure of Pr4Ho3ErTe8 at the PBE level of DFT.

a b c (Å): 9.0164 9.0164 9.0164
angles (deg): 57.85 57.85 57.85
Closest atoms and distances in Å follow each position.
Element x y z (fractional)
Pr 0.0000 0.0000 0.0000  6 Te 3.22
Pr 0.0000 0.5000 0.5000  6 Te 3.21
Pr 0.5000 0.0000 0.5000  6 Te 3.21
Pr 0.5000 0.5000 0.0000  6 Te 3.21
Ho 0.0000 0.0000 0.5000  6 Te 3.06
Ho 0.0000 0.5000 0.0000  6 Te 3.06
Ho 0.5000 0.0000 0.0000  6 Te 3.06
Er 0.5000 0.5000 0.5000  6 Te 3.06
Te 0.2444 0.2444 0.2444  3 Ho 3.06, 3 Pr 3.21
Te 0.2450 0.7438 0.7438  1 Er 3.06, 2 Ho 3.06, 3 Pr 3.21-3.22
Te 0.2562 0.2562 0.7550  1 Er 3.06, 2 Ho 3.06, 3 Pr 3.21-3.22
Te 0.2562 0.7550 0.2562  1 Er 3.06, 2 Ho 3.06, 3 Pr 3.21-3.22
Te 0.7438 0.2450 0.7438  1 Er 3.06, 2 Ho 3.06, 3 Pr 3.21-3.22
Te 0.7438 0.7438 0.2450  1 Er 3.06, 2 Ho 3.06, 3 Pr 3.21-3.22
Te 0.7550 0.2562 0.2562  1 Er 3.06, 2 Ho 3.06, 3 Pr 3.21-3.22
Te 0.7556 0.7556 0.7556  3 Ho 3.06, 3 Pr 3.21

Fermi-level density of states   10.3 states/eV per cell
Formation energy (no corrections)   -1.34 eV/atom
Calculated volume   30.792 Å³ per atom
SG   R-3m, No. 166


Computed, not measured: a relaxed structure of PrHoEr5Th2 at the PBE level of DFT.

a b c (Å): 9.8854 9.8854 9.8854
angles (deg): 127.66 127.66 77.17
Closest atoms and distances in Å follow each position.
Element x y z (fractional)
Pr 0.2500 0.7500 0.5000  4 Er 3.09
Pr 0.7500 0.2500 0.5000  4 Er 3.09
Ho 0.2500 0.2500 0.0000  10 Er 3.56-3.86
Ho 0.7500 0.7500 0.0000  10 Er 3.56-3.86
Er 0.0000 0.0000 0.0000  4 Th 3.48, 8 Er 3.80, 2 Ho 3.86
Er 0.0690 0.5690 0.9169  1 Th 3.03, 1 Pr 3.09
Er 0.1521 0.0690 0.5000  1 Th 3.03, 1 Pr 3.09
Er 0.3479 0.8479 0.9169  1 Th 3.03, 1 Pr 3.09
Er 0.4310 0.3479 0.5000  1 Th 3.03, 1 Pr 3.09
Er 0.5000 0.5000 0.0000  4 Th 3.48, 8 Er 3.80, 2 Ho 3.86
Er 0.5690 0.6521 0.5000  1 Th 3.03, 1 Pr 3.09
Er 0.6521 0.1521 0.0831  1 Th 3.03, 1 Pr 3.09
Er 0.8479 0.9310 0.5000  1 Th 3.03, 1 Pr 3.09
Er 0.9310 0.4310 0.0831  1 Th 3.03, 1 Pr 3.09
Th 0.1194 0.3806 0.5000  1 Th 2.94, 2 Er 3.03
Th 0.3806 0.8806 0.2613  1 Th 2.94, 2 Er 3.03
Th 0.6194 0.1194 0.7387  1 Th 2.94, 2 Er 3.03
Th 0.8806 0.6194 0.5000  1 Th 2.94, 2 Er 3.03

Fermi-level density of states   24.0 states/eV per cell
Formation energy   334 meV/atom
Calculated volume   32.635 Å³ per atom
SG   I4/mcm, No. 140


Computed, not measured: a relaxed structure of Pr2Ho2ErTh2 at the PBE level of DFT.

a b c (Å): 16.9669 3.4782 8.8904
angles (deg): 90.00 117.13 90.00
Closest atoms and distances in Å follow each position.
Element x y z (fractional)
Pr 0.1341 0.0000 0.4063  2 Pr 3.48, 3 Ho 3.60-3.75, 4 Th 3.67, 2 Er 3.71
Pr 0.3659 0.5000 0.5937  2 Pr 3.48, 3 Ho 3.60-3.75, 4 Th 3.67, 2 Er 3.71
Pr 0.6341 0.5000 0.4063  2 Pr 3.48, 3 Ho 3.60-3.75, 4 Th 3.67, 2 Er 3.71
Pr 0.8659 0.0000 0.5937  2 Pr 3.48, 3 Ho 3.60-3.75, 4 Th 3.67, 2 Er 3.71
Ho 0.2246 0.5000 0.1444  1 Er 3.42, 4 Ho 3.48-3.52, 3 Th 3.49-3.56, 3 Pr 3.60-3.75
Ho 0.2754 0.0000 0.8556  1 Er 3.42, 4 Ho 3.48-3.52, 3 Th 3.49-3.56, 3 Pr 3.60-3.75
Ho 0.7246 0.0000 0.1444  1 Er 3.42, 4 Ho 3.48-3.52, 3 Th 3.49-3.56, 3 Pr 3.60-3.75
Ho 0.7754 0.5000 0.8556  1 Er 3.42, 4 Ho 3.48-3.52, 3 Th 3.49-3.56, 3 Pr 3.60-3.75
Er 0.0000 0.5000 0.0000  2 Th 3.41, 2 Ho 3.42, 2 Er 3.48, 4 Pr 3.71
Er 0.5000 0.0000 0.0000  2 Th 3.41, 2 Ho 3.42, 2 Er 3.48, 4 Pr 3.71
Th 0.0754 0.5000 0.7047  3 Th 3.36-3.48, 1 Er 3.41, 3 Ho 3.49-3.56, 4 Pr 3.67
Th 0.4246 0.0000 0.2953  3 Th 3.36-3.48, 1 Er 3.41, 3 Ho 3.49-3.56, 4 Pr 3.67
Th 0.5754 0.0000 0.7047  3 Th 3.36-3.48, 1 Er 3.41, 3 Ho 3.49-3.56, 4 Pr 3.67
Th 0.9246 0.5000 0.2953  3 Th 3.36-3.48, 1 Er 3.41, 3 Ho 3.49-3.56, 4 Pr 3.67

Fermi-level density of states   25.7 states/eV per cell
Formation energy   163 meV/atom
Calculated volume   33.351 Å³ per atom
SG   C2/m, No. 12


Computed, not measured: a relaxed structure of PrHo5Er2Th at the PBE level of DFT.

a b c (Å): 10.9933 10.9933 9.6877
angles (deg): 90.00 90.00 149.90
Closest atoms and distances in Å follow each position.
Element x y z (fractional)
Pr 0.0956 0.9044 0.5000  3 Ho 3.04-3.41
Pr 0.9044 0.0956 0.0000  3 Ho 3.04-3.41
Ho 0.0289 0.9711 0.1803  2 Pr 3.17-3.41, 3 Ho 3.29-3.52, 2 Er 3.45
Ho 0.1066 0.8934 0.8860  3 Ho 3.29-3.61, 4 Er 3.35-3.52
Ho 0.1941 0.8059 0.2054  2 Th 3.41, 5 Ho 3.44-3.78, 3 Er 3.50-3.63, 1 Pr 3.54
Ho 0.2335 0.7665 0.5862  1 Pr 3.04, 1 Er 3.28
Ho 0.4868 0.5132 0.9050  3 Er 3.26-3.64, 2 Pr 3.47, 2 Ho 3.60
Ho 0.5132 0.4868 0.4050  3 Er 3.26-3.64, 2 Pr 3.47, 2 Ho 3.60
Ho 0.7665 0.2335 0.0862  1 Pr 3.04, 1 Er 3.28
Ho 0.8059 0.1941 0.7054  2 Th 3.41, 5 Ho 3.44-3.78, 3 Er 3.50-3.63, 1 Pr 3.54
Ho 0.8934 0.1066 0.3860  3 Ho 3.29-3.61, 4 Er 3.35-3.52
Ho 0.9711 0.0289 0.6803  2 Pr 3.17-3.41, 3 Ho 3.29-3.52, 2 Er 3.45
Er 0.3651 0.6349 0.2169  1 Th 3.32, 4 Ho 3.35-3.64, 2 Pr 3.64
Er 0.3880 0.6120 0.5989  9 Ho 3.26-3.63, 1 Th 3.35
Er 0.6120 0.3880 0.0989  9 Ho 3.26-3.63, 1 Th 3.35
Er 0.6349 0.3651 0.7169  1 Th 3.32, 4 Ho 3.35-3.64, 2 Pr 3.64
Th 0.3085 0.6915 0.8978  2 Er 3.32-3.35, 5 Ho 3.41-3.50, 2 Pr 3.64
Th 0.6915 0.3085 0.3978  2 Er 3.32-3.35, 5 Ho 3.41-3.50, 2 Pr 3.64

Fermi-level density of states   23.8 states/eV per cell
Formation energy   168 meV/atom
Calculated volume   32.619 Å³ per atom
SG   Cmc2_1, No. 36


| no. | final energy (eV per cell) | total magnetic moment (μB per cell) |
| --- | --- | --- |
| 1 | -51.19 | 0.00 |
| 2 | -61.69 | 0.00 |
| 3 | -84.06 | 0.00 |
| 4 | -88.00 | 0.00 |
| 5 | -73.95 | 0.00 |
| 6 | -85.40 | 0.00 |